{"formula": "NpMn5Ga7", "functional": "PBE", "state": "relaxed", "energy_ev_per_atom": -6.256, "formation_enthalpy_0k_kj_per_mol_fu": -130, "space_group": "No. 44", "cell": [[-2.888, 3.288, 2.678], [-5.588, 1.703, -3.202], [-4.394, -3.074, 3.952]], "species": ["Ga", "Ga", "Ga", "Ga", "Ga", "Ga", "Ga", "Mn", "Mn", "Mn", "Mn", "Mn", "Np"], "fractional_positions": [[0.989, 0.351, 0.671], [0.336, 0.664, 0.664], [0.667, 0.333, 0.333], [0.506, 0.792, 0.197], [0.506, 0.197, 0.792], [0.989, 0.671, 0.351], [0.267, 0.233, 0.233], [0.737, 0.763, 0.763], [0.003, 0.000, 0.503], [0.495, 0.503, 0.000], [0.495, 0.000, 0.503], [0.003, 0.503, 0.000], [0.007, 0.993, 0.993]]}